P:
## SbPSe2Br (PBE)

Data for an optimized crystal structure of SbPSe2Br.

```
SbPSe2Br
1.0
5.389 0.000 0.000
0.000 5.389 0.000
0.000 0.000 5.474
Sb Se Br P
1 2 1 1
direct
0.000 0.000 0.000
0.000 0.500 0.000
0.500 0.000 0.000
0.000 0.000 0.500
0.500 0.500 0.500
```

Output
- Size of the total moment: 0.30 μB per atom
- Space-group type: P4/mmm

Q:
## SbPSe2Br (PBE)

Data for an optimized crystal structure of SbPSe2Br.

```
SbPSe2Br
1.0
4.984 0.000 0.000
0.000 4.984 0.000
0.000 0.000 4.855
Sb Se Br P
1 2 1 1
direct
0.500 0.500 0.500
0.000 0.500 0.000
0.500 0.000 0.000
0.000 0.000 0.500
0.000 0.000 0.000
```

Output
- Size of the total moment: 0.00 μB per atom
- Space-group type: P4/mmm

Q: What are the energies relative to the best structure? A: P 447; Q 0, in meV per atom.

P:
## ScP3Br (PBE)

Data for an optimized crystal structure of ScP3Br.

```
ScP3Br
1.0
4.757 0.000 0.000
0.000 4.757 0.000
0.000 0.000 4.757
Sc P Br
1 3 1
direct
0.500 0.500 0.500
0.000 0.500 0.000
0.000 0.000 0.500
0.500 0.000 0.000
0.000 0.000 0.000
```

Output
- Size of the total moment: 0.00 μB per atom
- Space-group type: Pm-3m

Q:
## ScP3Br (PBE)

Data for an optimized crystal structure of ScP3Br.

```
ScP3Br
1.0
4.986 0.000 0.000
0.000 4.986 0.000
0.000 0.000 4.986
Sc P Br
1 3 1
direct
0.000 0.000 0.000
0.000 0.500 0.000
0.000 0.000 0.500
0.500 0.000 0.000
0.500 0.500 0.500
```

Output
- Size of the total moment: 0.00 μB per atom
- Space-group type: Pm-3m

Q: What are the energies relative to the best structure? A: P 307; Q 0, in meV per atom.

P:
## ScPSe2Br (PBE)

Data for an optimized crystal structure of ScPSe2Br.

```
ScPSe2Br
1.0
-2.718 4.209 1.559
-4.470 -2.375 -1.382
-0.392 -1.989 4.685
Sc P Se Br
1 1 2 1
direct
0.000 0.000 0.000
0.500 0.500 0.500
0.000 0.500 0.000
0.500 0.000 0.000
0.000 0.000 0.500
```

Output
- Size of the total moment: 0.23 μB per atom
- Space-group type: P4/mmm

Q:
## ScPSe2Br (PBE)

Data for an optimized crystal structure of ScPSe2Br.

```
ScPSe2Br
1.0
4.941 0.000 0.000
0.000 4.941 0.000
0.000 0.000 4.820
Sc P Se Br
1 1 2 1
direct
0.500 0.500 0.500
0.000 0.000 0.000
0.000 0.500 0.000
0.500 0.000 0.000
0.000 0.000 0.500
```

Output
- Size of the total moment: 0.06 μB per atom
- Space-group type: P4/mmm

Q: What are the energies relative to the best structure? A: P 21; Q 0, in meV per atom.

P:
## ScPSeBr2 (PBE)

Data for an optimized crystal structure of ScPSeBr2.

```
ScPSeBr2
1.0
4.967 0.000 0.000
0.000 4.967 0.000
0.000 0.000 5.181
Sc P Se Br
1 1 1 2
direct
0.500 0.500 0.500
0.000 0.000 0.000
0.000 0.000 0.500
0.000 0.500 0.000
0.500 0.000 0.000
```

Output
- Size of the total moment: 0.20 μB per atom
- Space-group type: P4/mmm

Q:
## ScPSeBr2 (PBE)

Data for an optimized crystal structure of ScPSeBr2.

```
ScPSeBr2
1.0
5.175 0.000 0.000
0.000 5.175 0.000
0.000 0.000 5.464
Sc P Se Br
1 1 1 2
direct
0.000 0.000 0.000
0.500 0.500 0.500
0.000 0.000 0.500
0.000 0.500 0.000
0.500 0.000 0.000
```

Output
- Size of the total moment: 0.40 μB per atom
- Space-group type: P4/mmm

Q: What are the energies relative to the best structure? A: P 287; Q 0, in meV per atom.

P:
## PSe3Br (PBE)

Data for an optimized crystal structure of PSe3Br.

```
PSe3Br
1.0
-2.972 0.225 -3.880
0.828 -4.736 -0.908
-3.798 -1.208 2.839
P Se Br
1 3 1
direct
0.000 0.000 0.000
0.000 0.500 0.000
0.000 0.000 0.500
0.500 0.000 0.000
0.500 0.500 0.500
```

Output
- Size of the total moment: 0.00 μB per atom
- Space-group type: Pm-3m

Q:
## PSe3Br (PBE)

Data for an optimized crystal structure of PSe3Br.

```
PSe3Br
1.0
4.492 0.398 0.882
-1.966 8.921 0.053
1.241 -3.290 7.716
P Se Br
2 6 2
direct
0.238 0.450 0.905
0.762 0.550 0.095
0.147 0.302 0.653
0.419 0.327 0.048
0.000 0.941 0.104
0.853 0.698 0.347
0.000 0.059 0.896
0.581 0.673 0.952
0.361 0.871 0.640
0.639 0.129 0.360
```

Output
- Size of the total moment: 0.00 μB per atom
- Space-group type: P-1

Q: What are the energies relative to the best structure? A: P 541; Q 0, in meV per atom.

P:
## P2SeBr (PBE)

Data for an optimized crystal structure of P2SeBr.

```
P2SeBr
1.0
3.280 0.000 0.000
0.000 5.820 0.207
0.000 5.114 5.881
Br P Se
1 2 1
direct
0.500 0.714 0.835
0.000 0.040 0.074
0.500 0.204 0.173
0.000 0.542 0.419
```

Output
- Size of the total moment: 0.00 μB per atom
- Space-group type: Pm

Q:
## P2SeBr (PBE)

Data for an optimized crystal structure of P2SeBr.

```
P2SeBr
1.0
-0.450 2.639 -3.892
-4.198 0.361 -2.136
-2.394 4.069 0.169
Br P Se
1 2 1
direct
0.500 0.500 0.500
0.000 0.000 0.000
0.250 0.250 0.250
0.750 0.750 0.750
```

Output
- Size of the total moment: 0.00 μB per atom
- Space-group type: F-43m

Q: What are the energies relative to the best structure? A: P 0; Q 890, in meV per atom.

P:
## P2SeBr (PBE)

Data for an optimized crystal structure of P2SeBr.

```
P2SeBr
1.0
0.000 3.353 3.353
3.353 0.000 3.353
3.353 3.353 0.000
P Se Br
2 1 1
direct
0.250 0.250 0.250
0.750 0.750 0.750
0.000 0.000 0.000
0.500 0.500 0.500
```

Output
- Size of the total moment: 0.00 μB per atom
- Space-group type: Fm-3m

Q:
## P2SeBr (PBE)

Data for an optimized crystal structure of P2SeBr.

```
P2SeBr
1.0
-0.887 0.235 3.690
-0.111 -4.552 0.263
5.183 -2.707 1.418
Br P Se
1 2 1
direct
0.500 0.750 0.750
0.000 0.979 0.099
0.000 0.521 0.401
0.500 0.250 0.250
```

Output
- Size of the total moment: 0.00 μB per atom
- Space-group type: P2/m

Q: What are the energies relative to the best structure? A: P 603; Q 0, in meV per atom.

P:
## P2SeBr (PBE)

Data for an optimized crystal structure of P2SeBr.

```
P2SeBr
1.0
6.997 0.000 0.000
0.000 6.997 0.000
3.499 3.499 3.841
P Se Br
4 2 2
direct
0.589 0.125 0.250
0.161 0.625 0.250
0.375 0.411 0.750
0.875 0.839 0.750
0.500 0.500 0.000
0.250 0.750 0.500
0.000 0.000 0.000
0.750 0.250 0.500
```

Output
- Size of the total moment: 0.00 μB per atom
- Space-group type: I-42d

Q:
## P2SeBr (PBE)

Data for an optimized crystal structure of P2SeBr.

```
P2SeBr
1.0
-0.263 -5.554 -0.387
1.520 0.551 -5.334
1.794 0.361 5.264
Br P Se
1 2 1
direct
0.750 0.250 0.500
0.021 0.021 0.000
0.479 0.479 0.000
0.250 0.750 0.500
```

Output
- Size of the total moment: 0.00 μB per atom
- Space-group type: Immm

R:
## P2SeBr (PBE)

Data for an optimized crystal structure of P2SeBr.

```
P2SeBr
1.0
-2.335 -0.002 2.752
4.216 -4.526 3.575
1.767 2.832 1.502
Br P Se
1 2 1
direct
0.000 0.500 0.500
0.000 0.000 0.000
0.500 0.500 0.000
0.500 0.000 0.500
```

Output
- Size of the total moment: 0.13 μB per atom
- Space-group type: Pmmm

Q: What are the energies relative to the best structure? A: P 7; Q 0; R 84, in meV per atom.